# 1
# AgIrPt

AgIrPt after structural relaxation (PBE, Alexandria via LeMat-Bulk).

Summary:
Calculated volume in Å³/cell: 95.2
SG: P4/nmm
Excess energy over the best structure of this formula in the dataset in meV/atom: 0.0
E_form in kJ/mol of formula units: 4

Geometry as POSCAR:
```
AgIrPt
1.0
2.786 0.000 0.000
0.000 2.786 0.000
0.000 0.000 12.263
Pt Ag Ir
2 2 2
Direct
0.000 0.500 0.266 Pt
0.500 0.000 0.734 Pt
0.500 0.000 0.090 Ag
0.000 0.500 0.910 Ag
0.500 0.000 0.426 Ir
0.000 0.500 0.574 Ir
```

# 2
# Ag2IrPt

Ag2IrPt after structural relaxation (PBE, Alexandria via LeMat-Bulk).

Summary:
Calculated volume in Å³/cell: 65.6
SG: Cmmm
Excess energy over the best structure of this formula in the dataset in meV/atom: 68.8
E_form in kJ/mol of formula units: 90

Geometry as POSCAR:
```
Ag2IrPt
1.0
2.755 0.007 0.000
-1.338 2.408 0.000
0.000 0.000 9.880
Ag Pt Ir
2 1 1
Direct
0.000 0.000 0.499 Ag
0.000 0.000 0.001 Ag
0.500 0.500 0.750 Pt
0.500 0.500 0.250 Ir
```

# 3
# AgIrPt2

AgIrPt2 after structural relaxation (PBE, Alexandria via LeMat-Bulk).

Summary:
Calculated volume in Å³/cell: 63.9
SG: Pmmm
Excess energy over the best structure of this formula in the dataset in meV/atom: 239.7
E_form in kJ/mol of formula units: 111

Geometry as POSCAR:
```
AgIrPt2
1.0
2.744 0.000 0.000
0.000 4.820 0.000
0.000 0.000 4.830
Pt Ir Ag
2 1 1
Direct
0.000 0.000 0.000 Pt
0.500 0.500 0.000 Pt
0.000 0.500 0.500 Ir
0.500 0.000 0.500 Ag
```

# 4
# AgIrPt2

AgIrPt2 after structural relaxation (PBE, Alexandria via LeMat-Bulk).

Summary:
Calculated volume in Å³/cell: 63.2
SG: C2/m
Excess energy over the best structure of this formula in the dataset in meV/atom: 143.5
E_form in kJ/mol of formula units: 74

Geometry as POSCAR:
```
AgIrPt2
1.0
4.833 -0.001 0.006
4.031 2.665 0.006
0.808 0.243 4.910
Pt Ir Ag
2 1 1
Direct
0.993 0.993 0.012 Pt
0.507 0.507 0.488 Pt
0.250 0.250 0.250 Ir
0.750 0.750 0.750 Ag
```

# 5
# AgIrPt2

AgIrPt2 after structural relaxation (PBE, Alexandria via LeMat-Bulk).

Summary:
Calculated volume in Å³/cell: 63.5
SG: P4mm
Excess energy over the best structure of this formula in the dataset in meV/atom: 112.0
E_form in kJ/mol of formula units: 62

Geometry as POSCAR:
```
AgIrPt2
1.0
-0.940 -2.025 -1.662
2.515 -0.202 -1.176
2.166 -5.593 5.590
Ir Ag Pt
1 1 2
Direct
0.500 0.500 0.765 Ir
0.000 0.000 0.503 Ag
0.000 0.000 0.993 Pt
0.500 0.500 0.239 Pt
```

# 6
# Ag2IrPt

Ag2IrPt after structural relaxation (PBE, Alexandria via LeMat-Bulk).

Summary:
Calculated volume in Å³/cell: 65.6
SG: Immm
Excess energy over the best structure of this formula in the dataset in meV/atom: 67.9
E_form in kJ/mol of formula units: 90

Geometry as POSCAR:
```
Ag2IrPt
1.0
-3.186 -1.867 4.283
2.347 -1.908 4.778
-1.042 4.112 -3.739
Ir Pt Ag
1 1 2
Direct
0.750 0.250 0.500 Ir
0.250 0.750 0.500 Pt
0.502 0.502 0.000 Ag
0.998 0.998 0.000 Ag
```

# 7
# Ag2IrPt

Ag2IrPt after structural relaxation (PBE, Alexandria via LeMat-Bulk).

Summary:
Calculated volume in Å³/cell: 65.5
SG: Pmmm
Excess energy over the best structure of this formula in the dataset in meV/atom: 68.9
E_form in kJ/mol of formula units: 90

Geometry as POSCAR:
```
Ag2IrPt
1.0
2.781 0.000 0.000
0.000 4.804 0.000
0.000 0.000 4.903
Ag Ir Pt
2 1 1
Direct
0.000 0.000 0.000 Ag
0.500 0.500 0.000 Ag
0.500 0.000 0.500 Ir
0.000 0.500 0.500 Pt
```

# 8
# Ag2IrPt

Ag2IrPt after structural relaxation (PBE, Alexandria via LeMat-Bulk).

Summary:
Calculated volume in Å³/cell: 65.1
SG: I-4m2
Excess energy over the best structure of this formula in the dataset in meV/atom: 194.5
E_form in kJ/mol of formula units: 138

Geometry as POSCAR:
```
Ag2IrPt
1.0
-2.867 -3.222 -2.178
1.510 -4.348 1.469
-1.160 3.905 2.598
Ag Pt Ir
2 1 1
Direct
0.250 0.750 0.500 Ag
0.000 0.000 0.000 Ag
0.750 0.250 0.500 Pt
0.500 0.500 0.000 Ir
```

# 9
# AgIrPt2

AgIrPt2 after structural relaxation (PBE, Alexandria via LeMat-Bulk).

Summary:
Calculated volume in Å³/cell: 64.4
SG: Immm
Excess energy over the best structure of this formula in the dataset in meV/atom: 201.7
E_form in kJ/mol of formula units: 96

Geometry as POSCAR:
```
AgIrPt2
1.0
-1.738 -5.077 1.528
1.796 -4.523 -2.729
0.919 4.481 3.195
Pt Ir Ag
2 1 1
Direct
0.012 0.012 0.000 Pt
0.488 0.488 0.000 Pt
0.250 0.750 0.500 Ir
0.750 0.250 0.500 Ag
```

# 10
# AgIr2Pt

AgIr2Pt after structural relaxation (PBE, Alexandria via LeMat-Bulk).

Summary:
Calculated volume in Å³/cell: 63.0
SG: Cmmm
Excess energy over the best structure of this formula in the dataset in meV/atom: 245.0
E_form in kJ/mol of formula units: 135

Geometry as POSCAR:
```
AgIr2Pt
1.0
-1.881 -1.406 -1.441
0.757 -0.862 2.505
-6.982 5.306 3.937
Ir Ag Pt
2 1 1
Direct
0.000 0.000 0.493 Ir
0.000 0.000 0.007 Ir
0.500 0.500 0.750 Ag
0.500 0.500 0.250 Pt
```

# 11
# Ag2IrPt

Ag2IrPt after structural relaxation (PBE, Alexandria via LeMat-Bulk).

Summary:
Calculated volume in Å³/cell: 65.6
SG: Cm
Excess energy over the best structure of this formula in the dataset in meV/atom: 80.6
E_form in kJ/mol of formula units: 94

Geometry as POSCAR:
```
Ag2IrPt
1.0
-3.949 1.965 2.070
-3.019 0.019 3.825
2.287 3.623 2.807
Ag Pt Ir
2 1 1
Direct
0.001 0.001 0.020 Ag
0.246 0.246 0.232 Ag
0.756 0.756 0.713 Pt
0.497 0.497 0.536 Ir
```

# 12
# AgIrPt2

AgIrPt2 after structural relaxation (PBE, Alexandria via LeMat-Bulk).

Summary:
Calculated volume in Å³/cell: 62.9
SG: I-4m2
Excess energy over the best structure of this formula in the dataset in meV/atom: 175.4
E_form in kJ/mol of formula units: 86

Geometry as POSCAR:
```
AgIrPt2
1.0
4.865 -0.003 0.000
1.608 4.591 0.000
-3.237 -2.294 2.816
Ir Pt Ag
1 2 1
Direct
0.750 0.250 0.500 Ir
0.000 0.000 0.000 Pt
0.250 0.750 0.500 Pt
0.500 0.500 0.000 Ag
```

# 13
# AgIrPt2

AgIrPt2 after structural relaxation (PBE, Alexandria via LeMat-Bulk).

Summary:
Calculated volume in Å³/cell: 62.9
SG: P2/m
Excess energy over the best structure of this formula in the dataset in meV/atom: 134.0
E_form in kJ/mol of formula units: 70

Geometry as POSCAR:
```
AgIrPt2
1.0
-0.501 2.709 -0.060
-0.851 -0.050 4.885
3.913 0.811 3.918
Pt Ag Ir
2 1 1
Direct
0.500 0.500 0.000 Pt
0.000 0.000 0.000 Pt
0.500 0.500 0.500 Ag
0.000 0.000 0.500 Ir
```

# 14
# AgIrPt2

AgIrPt2 after structural relaxation (PBE, Alexandria via LeMat-Bulk).

Summary:
Calculated volume in Å³/cell: 63.2
SG: Pmmm
Excess energy over the best structure of this formula in the dataset in meV/atom: 94.9
E_form in kJ/mol of formula units: 55

Geometry as POSCAR:
```
AgIrPt2
1.0
-0.943 3.402 1.828
0.957 -1.025 2.401
6.146 1.052 1.213
Ir Ag Pt
1 1 2
Direct
0.500 0.750 0.750 Ir
0.500 0.250 0.250 Ag
0.000 0.487 0.513 Pt
0.000 0.013 0.987 Pt
```

# 15
# AgIr2Pt

AgIr2Pt after structural relaxation (PBE, Alexandria via LeMat-Bulk).

Summary:
Calculated volume in Å³/cell: 61.8
SG: P4/mmm
Excess energy over the best structure of this formula in the dataset in meV/atom: 257.4
E_form in kJ/mol of formula units: 139

Geometry as POSCAR:
```
AgIr2Pt
1.0
-1.408 3.003 -2.298
-3.194 -2.115 -0.808
-1.806 1.537 3.115
Ir Pt Ag
2 1 1
Direct
0.000 0.000 0.000 Ir
0.000 0.500 0.500 Ir
0.500 0.500 0.000 Pt
0.500 0.000 0.500 Ag
```

# 16
# AgIr2Pt

AgIr2Pt after structural relaxation (PBE, Alexandria via LeMat-Bulk).

Summary:
Calculated volume in Å³/cell: 63.2
SG: Cmm2
Excess energy over the best structure of this formula in the dataset in meV/atom: 150.1
E_form in kJ/mol of formula units: 98

Geometry as POSCAR:
```
AgIr2Pt
1.0
-2.416 0.158 1.323
0.146 -1.104 -2.525
1.560 -8.682 3.886
Pt Ir Ag
1 2 1
Direct
0.000 0.000 0.493 Pt
0.500 0.500 0.244 Ir
0.000 0.000 0.012 Ir
0.500 0.500 0.752 Ag
```

# 17
# Ag2IrPt

Ag2IrPt after structural relaxation (PBE, Alexandria via LeMat-Bulk).

Summary:
Calculated volume in Å³/cell: 64.8
SG: R-3m
Excess energy over the best structure of this formula in the dataset in meV/atom: 0.0
E_form in kJ/mol of formula units: 63

Geometry as POSCAR:
```
Ag2IrPt
1.0
-2.015 -7.776 5.530
0.725 -8.199 5.232
-0.216 -6.520 7.250
Pt Ir Ag
1 1 2
Direct
0.750 0.750 0.750 Pt
0.250 0.250 0.250 Ir
0.000 0.000 0.000 Ag
0.500 0.500 0.500 Ag
```

# 18
# AgIr2Pt

AgIr2Pt after structural relaxation (PBE, Alexandria via LeMat-Bulk).

Summary:
Calculated volume in Å³/cell: 140.4
SG: I-42d
Excess energy over the best structure of this formula in the dataset in meV/atom: 710.0
E_form in kJ/mol of formula units: 314

Geometry as POSCAR:
```
AgIr2Pt
1.0
-3.401 3.645 -5.364
3.930 -3.660 -4.979
-1.579 -1.863 -5.263
Ag Ir Pt
2 4 2
Direct
0.500 0.500 0.000 Ag
0.250 0.750 0.500 Ag
0.875 0.905 0.750 Ir
0.095 0.625 0.250 Ir
0.375 0.345 0.750 Ir
0.655 0.125 0.250 Ir
0.000 0.000 0.000 Pt
0.750 0.250 0.500 Pt
```

# 19
# AgIrPt2

AgIrPt2 after structural relaxation (PBE, Alexandria via LeMat-Bulk).

Summary:
Calculated volume in Å³/cell: 63.8
SG: F-43m
Excess energy over the best structure of this formula in the dataset in meV/atom: 334.9
E_form in kJ/mol of formula units: 148

Geometry as POSCAR:
```
AgIrPt2
1.0
-2.426 -3.410 -1.614
0.517 -4.120 1.696
-3.250 -1.821 2.498
Pt Ir Ag
2 1 1
Direct
0.000 0.000 0.000 Pt
0.250 0.250 0.250 Pt
0.750 0.750 0.750 Ir
0.500 0.500 0.500 Ag
```

# 20
# Ag2IrPt

Ag2IrPt after structural relaxation (PBE, Alexandria via LeMat-Bulk).

Summary:
Calculated volume in Å³/cell: 65.5
SG: P4/mmm
Excess energy over the best structure of this formula in the dataset in meV/atom: 213.6
E_form in kJ/mol of formula units: 146

Geometry as POSCAR:
```
Ag2IrPt
1.0
4.327 0.000 0.000
0.000 3.891 0.000
0.000 0.000 3.891
Ag Pt Ir
2 1 1
Direct
0.000 0.500 0.500 Ag
0.000 0.000 0.000 Ag
0.500 0.000 0.500 Pt
0.500 0.500 0.000 Ir
```